No. 1
Density functional theory data (GGA-PBE) for RbTbCd2Br8 after structural relaxation.

Cell lengths 6.995, 7.006, 9.713 Å; angles 77.39, 78.87, 78.09 degrees
Space group P-1 (No. 2)
One atom of each set of equivalent atoms:
Rb1 0.000 0.000 0.000 (multiplicity 1)
Tb1 0.000 0.000 0.500 (multiplicity 1)
Cd1 0.453 0.439 0.220 (multiplicity 2)
Br1 0.169 0.725 0.725 (multiplicity 2)
Br2 0.239 0.797 0.289 (multiplicity 2)
Br3 0.286 0.242 0.474 (multiplicity 2)
Br4 0.358 0.300 0.012 (multiplicity 2)

Output
- crystal system = triclinic

=====

No. 2
Density functional theory data (GGA-PBE) for ScRe2Ir after structural relaxation.

Cell lengths 9.739, 2.824, 4.716 Å; angles 90.00, 101.48, 90.00 degrees
Space group C2/m (No. 12)
One atom of each set of equivalent atoms:
Sc1 0.000 0.000 0.000 (multiplicity 2)
Re1 0.235 0.000 0.738 (multiplicity 4)
Ir1 0.000 0.500 0.500 (multiplicity 2)

Output
- crystal system = monoclinic

=====

We obtain M_tot values of 0.00, 0.00 Bohr magnetons per cell for the records listed above, in that order.
We obtain total energy values of -36.4, -81.4 eV for the cell shown for the records listed above, in that order.